(1)
# GdCdBi PBE optimized geometry
# Energy above the lowest structure with this stoichiometry   0 meV/atom
# Space group   P3m1 (156)
# E_form   -0.3798 eV per atom
data_GdCdBi
_cell_length_a 4.411
_cell_length_b 4.798
_cell_length_c 4.798
_cell_angle_alpha 120.00
_cell_angle_beta 90.00
_cell_angle_gamma 90.00
_symmetry_space_group_name_H-M 'P 1'
_symmetry_Int_Tables_number 1
loop_
_symmetry_equiv_pos_as_xyz
'x,y,z'
loop_
_atom_site_label
_atom_site_fract_x
_atom_site_fract_y
_atom_site_fract_z
Gd1 0.695 0.667 0.333
Bi1 0.292 0.333 0.667
Cd1 0.013 0.000 0.000

(2)
# LaGdCdBi PBE optimized geometry
# Space group   F-43m (216)
# E_form   -0.5131 eV per atom
data_LaGdCdBi
_cell_length_a 5.539
_cell_length_b 5.539
_cell_length_c 5.539
_cell_angle_alpha 60.00
_cell_angle_beta 60.00
_cell_angle_gamma 60.00
_symmetry_space_group_name_H-M 'P 1'
_symmetry_Int_Tables_number 1
loop_
_symmetry_equiv_pos_as_xyz
'x,y,z'
loop_
_atom_site_label
_atom_site_fract_x
_atom_site_fract_y
_atom_site_fract_z
La1 0.000 0.000 0.000
Gd1 0.500 0.500 0.500
Bi1 0.750 0.750 0.750
Cd1 0.250 0.250 0.250

(3)
# LiGdCdBi PBE optimized geometry
# Space group   F-43m (216)
# E_form   -0.4022 eV per atom
data_LiGdCdBi
_cell_length_a 5.263
_cell_length_b 5.263
_cell_length_c 5.263
_cell_angle_alpha 60.00
_cell_angle_beta 60.00
_cell_angle_gamma 60.00
_symmetry_space_group_name_H-M 'P 1'
_symmetry_Int_Tables_number 1
loop_
_symmetry_equiv_pos_as_xyz
'x,y,z'
loop_
_atom_site_label
_atom_site_fract_x
_atom_site_fract_y
_atom_site_fract_z
Li1 0.000 0.000 0.000
Bi1 0.250 0.250 0.250
Cd1 0.750 0.750 0.750
Gd1 0.500 0.500 0.500

Number 1: energy -20.02 eV per formula unit, M_tot 2.320 μB per atom, DOS at the Fermi energy 0.992 states/eV per atom. Number 2: energy -25.86 eV per formula unit, M_tot 1.902 μB per atom, DOS at the Fermi energy 1.344 states/eV per atom. Number 3: energy -22.40 eV per formula unit, M_tot 1.733 μB per atom, DOS at the Fermi energy 0.945 states/eV per atom.